(1)
A plane-wave DFT calculation with PBE was carried out for a relaxed structure of Sr2Li12TlPd3.

Unit cell a=8.746 b=8.746 c=8.746 alpha=57.16 beta=57.16 gamma=57.16
Fractional positions:
1 Sr 0.585 0.585 0.585
2 Sr 0.415 0.415 0.415
3 Li 0.228 0.228 0.894
4 Li 0.852 0.852 0.452
5 Li 0.452 0.852 0.852
6 Li 0.894 0.228 0.228
7 Li 0.852 0.452 0.852
8 Li 0.228 0.894 0.228
9 Li 0.772 0.772 0.106
10 Li 0.148 0.148 0.548
11 Li 0.548 0.148 0.148
12 Li 0.106 0.772 0.772
13 Li 0.148 0.548 0.148
14 Li 0.772 0.106 0.772
15 Tl 0.000 0.000 0.000
16 Pd 0.500 0.000 0.000
17 Pd 0.000 0.500 0.000
18 Pd 0.000 0.000 0.500

DFT formation energy	0.4	eV per formula unit


(2)
A plane-wave DFT calculation with PBE was carried out for a relaxed structure of Sr2LiTlPd6.

Unit cell a=6.823 b=6.644 c=6.643 alpha=50.22 beta=90.04 gamma=110.63
Fractional positions:
1 Sr 0.243 0.745 0.502
2 Sr 0.757 0.255 0.498
3 Li 0.000 0.000 0.000
4 Tl 0.500 0.500 0.000
5 Pd 0.307 0.813 0.997
6 Pd 0.949 0.756 0.808
7 Pd 0.307 0.303 0.507
8 Pd 0.693 0.187 0.003
9 Pd 0.051 0.244 0.192
10 Pd 0.693 0.697 0.493

DFT formation energy	-4.0	eV per formula unit


(3)
A plane-wave DFT calculation with PBE was carried out for a relaxed structure of Sr2LiTlPd.

Unit cell a=5.876 b=5.876 c=5.317 alpha=90.00 beta=90.00 gamma=90.00
Fractional positions:
1 Sr 0.000 0.500 0.000
2 Sr 0.500 0.000 0.000
3 Tl 0.000 0.000 0.500
4 Pd 0.000 0.000 0.000
5 Li 0.500 0.500 0.500

DFT formation energy	-1.2	eV per formula unit
excess energy over the best structure of this formula in the dataset	0.237	eV per formula unit


| no. | DFT total energy (eV per cell) |
| --- | --- |
| 1 | -43.84 |
| 2 | -42.75 |
| 3 | -13.99 |